Entry 1:
A plane-wave DFT calculation with GGA-PBE was carried out for a relaxed TlCoPd2 crystal.

Calculated values
Energy above the most stable polymorph in this dataset: 247 meV per atom
N(E_F): 10.76 states/eV per cell
Calculated density: 11.2 g/cm³
Formation energy from the elements: 0.370 eV per atom
Volume: 70.6 Å³/f.u.

Cell and atoms, written as CIF:
```
data_TlCoPd2
_symmetry_space_group_name_H-M 'P 1'
_symmetry_Int_Tables_number 1
_symmetry_space_group_name_Hall 'P 1'
_cell_length_a 3.895
_cell_length_b 3.895
_cell_length_c 9.708
_cell_angle_alpha 78.43
_cell_angle_beta 78.43
_cell_angle_gamma 90.00
loop_
_atom_site_label
_atom_site_type_symbol
_atom_site_fract_x
_atom_site_fract_y
_atom_site_fract_z
_atom_site_occupancy
Pd1 Pd 0.140 0.625 0.250 1
Pd2 Pd 0.375 0.390 0.750 1
Pd3 Pd 0.610 0.125 0.250 1
Pd4 Pd 0.875 0.860 0.750 1
Co1 Co 0.250 0.750 0.500 1
Co2 Co 0.500 0.500 0.000 1
Tl1 Tl 0.750 0.250 0.500 1
Tl2 Tl 0.000 0.000 0.000 1
```

Entry 2:
A plane-wave DFT calculation with GGA-PBE was carried out for a relaxed Tl2CoPd2 crystal.

Calculated values
N(E_F): 13.85 states/eV per cell
Calculated density: 11.7 g/cm³
Formation energy from the elements: 0.226 eV per atom
Volume: 96.3 Å³/f.u.

Cell and atoms, written as CIF:
```
data_Tl2CoPd2
_symmetry_space_group_name_H-M 'P 1'
_symmetry_Int_Tables_number 1
_symmetry_space_group_name_Hall 'P 1'
_cell_length_a 6.717
_cell_length_b 6.717
_cell_length_c 4.268
_cell_angle_alpha 90.00
_cell_angle_beta 90.00
_cell_angle_gamma 90.00
loop_
_atom_site_label
_atom_site_type_symbol
_atom_site_fract_x
_atom_site_fract_y
_atom_site_fract_z
_atom_site_occupancy
Co1 Co 0.500 0.500 0.000 1
Co2 Co 0.000 0.000 0.000 1
Tl1 Tl 0.169 0.669 0.500 1
Tl2 Tl 0.669 0.831 0.500 1
Tl3 Tl 0.331 0.169 0.500 1
Tl4 Tl 0.831 0.331 0.500 1
Pd1 Pd 0.855 0.645 0.000 1
Pd2 Pd 0.645 0.145 0.000 1
Pd3 Pd 0.145 0.355 0.000 1
Pd4 Pd 0.355 0.855 0.000 1
```

Look up the volume of the second one. 96.3 Å³/f.u.

Which value of calculated density does entry 2 give? 11.7 g/cm³

Which value of formation energy from the elements does entry 1 give? 0.370 eV per atom

Which of these has the lowest calculated density? TlCoPd2